(1)
Compound: Dy3Ho8Sc4
Source: Alexandria
Functional: PBE
Structure: optimized geometry

Cell: 13.013 11.814 6.574 Å, 90.00 115.93 90.00°
Space group C2/m (No. 12)
Inequivalent atoms, fractional coordinates:
Dy1 0.000 0.000 0.000 (multiplicity 2)
Dy2 0.250 0.250 0.500 (multiplicity 4)
Ho1 0.000 0.204 0.500 (multiplicity 4)
Ho2 0.000 0.261 0.000 (multiplicity 4)
Ho3 0.203 0.000 0.664 (multiplicity 4)
Ho4 0.234 0.500 0.804 (multiplicity 4)
Sc1 0.000 0.500 0.000 (multiplicity 2)
Sc2 0.000 0.500 0.500 (multiplicity 2)
Sc3 0.250 0.250 0.000 (multiplicity 4)

Total moment ... 1.196 μB per cell
Formation enthalpy at 0 K ... 5.87 eV/f.u.



(2)
Compound: Tb2Pr5Y2
Source: Alexandria
Functional: PBE
Structure: optimized geometry

Cell: 15.160 11.980 6.872 Å, 90.00 90.00 90.00°
Space group Ima2 (No. 46)
Inequivalent atoms, fractional coordinates:
Tb1 0.000 0.000 0.000 (multiplicity 4)
Tb2 0.250 0.000 0.024 (multiplicity 4)
Pr1 0.050 0.231 0.652 (multiplicity 8)
Pr2 0.144 0.725 0.319 (multiplicity 8)
Pr3 0.250 0.236 0.335 (multiplicity 4)
Y1 0.129 0.510 0.975 (multiplicity 8)

E above lowest polymorph ... 18.60 kJ/mol of atoms
Total moment ... 0.000 μB per cell
Formation enthalpy at 0 K ... 1.89 eV/f.u.



Repeat the first record exactly.
Compound: Dy3Ho8Sc4
Source: Alexandria
Functional: PBE
Structure: optimized geometry

Cell: 13.013 11.814 6.574 Å, 90.00 115.93 90.00°
Space group C2/m (No. 12)
Inequivalent atoms, fractional coordinates:
Dy1 0.000 0.000 0.000 (multiplicity 2)
Dy2 0.250 0.250 0.500 (multiplicity 4)
Ho1 0.000 0.204 0.500 (multiplicity 4)
Ho2 0.000 0.261 0.000 (multiplicity 4)
Ho3 0.203 0.000 0.664 (multiplicity 4)
Ho4 0.234 0.500 0.804 (multiplicity 4)
Sc1 0.000 0.500 0.000 (multiplicity 2)
Sc2 0.000 0.500 0.500 (multiplicity 2)
Sc3 0.250 0.250 0.000 (multiplicity 4)

Total moment ... 1.196 μB per cell
Formation enthalpy at 0 K ... 5.87 eV/f.u.